# Rb2CaBeI, optimized geometry, DFT PBE
# formation energy (no corrections) = 0.396 eV/atom
# density of states at the Fermi level = 4.648 states/eV per cell
# total moment = 1.27 μB per cell
data_Rb2CaBeI
_space_group_name_H-M_alt 'P 1'
_space_group_IT_number 1
_space_group_name_Hall 'P 1'
_cell_length_a 7.071
_cell_length_b 5.376
_cell_length_c 7.071
_cell_angle_alpha 90.00
_cell_angle_beta 90.00
_cell_angle_gamma 90.00
loop_
_atom_site_label
_atom_site_type_symbol
_atom_site_fract_x
_atom_site_fract_y
_atom_site_fract_z
Rb1 Rb 0.000 0.000 0.500
Rb2 Rb 0.500 0.000 0.000
Be1 Be 0.000 0.500 0.000
I1 I 0.000 0.000 0.000
Ca1 Ca 0.500 0.500 0.500

***

# Hg3I, optimized geometry, DFT PBE
# formation energy (no corrections) = 0.037 eV/atom
# density of states at the Fermi level = 2.560 states/eV per cell
# total moment = 0.00 μB per cell
# excess energy over the best structure of this formula in the dataset = 0.1401 eV per atom
data_Hg3I
_space_group_name_H-M_alt 'P 1'
_space_group_IT_number 1
_space_group_name_Hall 'P 1'
_cell_length_a 5.618
_cell_length_b 5.618
_cell_length_c 5.618
_cell_angle_alpha 60.00
_cell_angle_beta 60.00
_cell_angle_gamma 60.00
loop_
_atom_site_label
_atom_site_type_symbol
_atom_site_fract_x
_atom_site_fract_y
_atom_site_fract_z
Hg1 Hg 0.750 0.750 0.750
Hg2 Hg 0.250 0.250 0.250
Hg3 Hg 0.000 0.000 0.000
I1 I 0.500 0.500 0.500

***

# CsBiAs, optimized geometry, DFT PBE
# density of states at the Fermi level = 0.904 states/eV per cell
# total moment = 0.00 μB per cell
# excess energy over the best structure of this formula in the dataset = 0.0559 eV per atom
data_CsBiAs
_space_group_name_H-M_alt 'P 1'
_space_group_IT_number 1
_space_group_name_Hall 'P 1'
_cell_length_a 3.977
_cell_length_b 3.977
_cell_length_c 7.346
_cell_angle_alpha 105.71
_cell_angle_beta 105.71
_cell_angle_gamma 90.00
loop_
_atom_site_label
_atom_site_type_symbol
_atom_site_fract_x
_atom_site_fract_y
_atom_site_fract_z
As1 As 0.709 0.709 0.418
Bi1 Bi 0.285 0.285 0.571
Cs1 Cs 0.006 0.006 0.012

***

# Ba2TbCd3Hg12, optimized geometry, DFT PBE
# density of states at the Fermi level = 9.589 states/eV per cell
# total moment = 0.00 μB per cell
# total DFT energy (no corrections) = -17.904 eV per cell
data_Ba2TbCd3Hg12
_space_group_name_H-M_alt 'P 1'
_space_group_IT_number 1
_space_group_name_Hall 'P 1'
_cell_length_a 13.112
_cell_length_b 13.112
_cell_length_c 13.112
_cell_angle_alpha 31.65
_cell_angle_beta 31.65
_cell_angle_gamma 31.65
loop_
_atom_site_label
_atom_site_type_symbol
_atom_site_fract_x
_atom_site_fract_y
_atom_site_fract_z
Hg1 Hg 0.843 0.407 0.407
Hg2 Hg 0.881 0.881 0.406
Hg3 Hg 0.407 0.843 0.407
Hg4 Hg 0.407 0.407 0.843
Hg5 Hg 0.406 0.881 0.881
Hg6 Hg 0.594 0.119 0.119
Hg7 Hg 0.881 0.406 0.881
Hg8 Hg 0.119 0.119 0.594
Hg9 Hg 0.119 0.594 0.119
Hg10 Hg 0.157 0.593 0.593
Hg11 Hg 0.593 0.157 0.593
Hg12 Hg 0.593 0.593 0.157
Cd1 Cd 0.500 0.000 0.000
Cd2 Cd 0.000 0.000 0.500
Cd3 Cd 0.000 0.500 0.000
Tb1 Tb 0.000 0.000 0.000
Ba1 Ba 0.363 0.363 0.363
Ba2 Ba 0.637 0.637 0.637

***

# LaDy2As, optimized geometry, DFT PBE
# density of states at the Fermi level = 3.588 states/eV per cell
# total moment = 0.00 μB per cell
# total DFT energy (no corrections) = -21.306 eV per cell
data_LaDy2As
_space_group_name_H-M_alt 'P 1'
_space_group_IT_number 1
_space_group_name_Hall 'P 1'
_cell_length_a 3.887
_cell_length_b 3.887
_cell_length_c 9.787
_cell_angle_alpha 78.55
_cell_angle_beta 78.55
_cell_angle_gamma 60.00
loop_
_atom_site_label
_atom_site_type_symbol
_atom_site_fract_x
_atom_site_fract_y
_atom_site_fract_z
As1 As 0.000 0.000 0.000
La1 La 0.500 0.500 0.500
Dy1 Dy 0.273 0.273 0.180
Dy2 Dy 0.727 0.727 0.820

***

# InTe2PdI, optimized geometry, DFT PBE
# formation energy (no corrections) = 0.051 eV/atom
# density of states at the Fermi level = 6.103 states/eV per cell
# total moment = 0.00 μB per cell
# excess energy over the best structure of this formula in the dataset = 0.0000 eV per atom
data_InTe2PdI
_space_group_name_H-M_alt 'P 1'
_space_group_IT_number 1
_space_group_name_Hall 'P 1'
_cell_length_a 5.342
_cell_length_b 5.342
_cell_length_c 5.686
_cell_angle_alpha 90.00
_cell_angle_beta 90.00
_cell_angle_gamma 90.00
loop_
_atom_site_label
_atom_site_type_symbol
_atom_site_fract_x
_atom_site_fract_y
_atom_site_fract_z
Te1 Te 0.000 0.500 0.000
Te2 Te 0.500 0.000 0.000
I1 I 0.000 0.000 0.500
Pd1 Pd 0.000 0.000 0.000
In1 In 0.500 0.500 0.500